Compound: CsHoCrF6
Source: Alexandria via LeMat-Bulk
Functional: PBE+U
Structure: optimized geometry

Summary:
uncorrected energy	-0.4414	Ry/atom
calculated volume	364	Å³/cell
theoretical density	4.23	g cm⁻³
M_tot	4.0	μB per formula unit

Cell lengths 8.2350, 7.6493, 8.0629 Å; angles 118.32, 120.71, 90.00 degrees
Last column: nearest neighbours and their distance in Å.
Fractional positions:
Cs1 0.1763 0.4263 0.3526  9 F 3.16-3.50
Cs2 0.8237 0.5737 0.6474  9 F 3.16-3.50
F1 0.4431 0.0919 0.2646  1 Ho 2.16, 1 Cr 2.21
F2 0.5507 0.3007 0.1014  2 Cr 2.00
F3 0.8215 0.6727 0.2646  1 Ho 2.16, 1 Cr 2.21
F4 0.1825 0.9325 0.3649  2 Ho 2.20
F5 0.5569 0.9081 0.7354  1 Ho 2.16, 1 Cr 2.21
F6 0.1785 0.3273 0.7354  1 Ho 2.16, 1 Cr 2.21
F7 0.1785 0.9081 0.7354  1 Ho 2.16, 1 Cr 2.21
F8 0.4493 0.6993 0.8986  2 Cr 2.00
F9 0.5569 0.3273 0.7354  1 Ho 2.16, 1 Cr 2.21
F10 0.4431 0.6727 0.2646  1 Ho 2.16, 1 Cr 2.21
F11 0.8175 0.0675 0.6351  2 Ho 2.20
F12 0.8215 0.0919 0.2646  1 Ho 2.16, 1 Cr 2.21
Ho1 0.5000 0.0000 0.5000  6 F 2.16-2.20
Ho2 0.0000 0.0000 0.5000  6 F 2.16-2.20
Cr1 0.5000 0.0000 0.0000  6 F 2.00-2.21
Cr2 0.5000 0.5000 0.0000  6 F 2.00-2.21